(1)
First-principles (PBE) data for a relaxed structure of Ti2In2Pd, as listed in the Alexandria database.

Structure (extended XYZ):
```
10
Lattice="-2.1818 -5.0028 -1.6739 4.4182 -4.0063 -3.5198 4.9302 -5.9321 1.5685" Properties=species:S:1:pos:R:3 pbc="T T T"
Ti 7.5517 -8.5619 -1.3148
Ti 2.3376 -4.8306 -0.7534
Ti 4.8290 -10.1107 -2.8719
Ti -0.3850 -6.3794 -2.3104
Pd 4.5440 -4.4929 -2.2495
Pd 2.6227 -10.4483 -1.3758
In 2.0324 -7.7143 -1.6750
In 7.2921 -11.3411 -2.2015
In -0.1254 -3.6001 -1.4237
In 5.1343 -7.2269 -1.9502
```

## Properties
Magnetization   0.00 μB per cell
Energy above the lowest structure with this stoichiometry   0.000 eV/atom
Symmetry   No. 15
E_form   -191 meV/atom


(2)
First-principles (PBE) data for a relaxed structure of PmHfTh2N4, as listed in the Alexandria database.

Structure (extended XYZ):
```
8
Lattice="-3.3425 1.0132 -0.1042 -0.4475 -2.0678 -5.7500 -1.4925 -4.5257 3.8672" Properties=species:S:1:pos:R:3 pbc="T T T"
N -2.1019 -0.9555 -0.4531
N -1.2441 -3.9343 1.6517
N -0.6958 -2.6592 -3.5345
N -3.1805 -4.6249 -1.5339
Th -0.9700 -3.2968 -0.9414
Th -2.4175 -1.7563 1.8815
Pm -1.8950 -0.5273 -2.9271
Hf 0.0000 0.0000 0.0000
```

## Properties
Magnetization   0.00 μB per cell
Symmetry   No. 10
E_form (uncorrected)   -12.3 eV per formula unit


(3)
First-principles (PBE) data for a relaxed structure of ZnCoP2, as listed in the Alexandria database.

Structure (extended XYZ):
```
4
Lattice="4.2447 0.0000 0.0000 0.0000 4.1713 -0.0813 0.0000 1.7195 3.3224" Properties=species:S:1:pos:R:3 pbc="T T T"
P 2.1223 1.6073 0.4890
P 0.0000 4.8057 3.0128
Zn 0.0000 2.7348 1.9806
Co 2.1223 1.4078 2.7015
```

## Properties
Magnetization   0.00 μB per cell
Symmetry   No. 6
E_form   -70 meV/atom


(4)
First-principles (PBE) data for a relaxed structure of Be2FeAg, as listed in the Alexandria database.

Structure (extended XYZ):
```
4
Lattice="4.0752 0.0000 0.0000 2.0376 3.5293 0.0000 2.0376 1.1764 3.3274" Properties=species:S:1:pos:R:3 pbc="T T T"
Fe 6.1128 3.5293 2.4956
Ag 4.0752 2.3528 1.6637
Be 2.0376 1.1764 0.8319
Be 0.0000 0.0000 0.0000
```

## Properties
Magnetization   2.38 μB per cell
Energy above the lowest structure with this stoichiometry   0.391 eV/atom
Symmetry   No. 216
E_form   392 meV/atom